# 1
Material: Sr2V3BiO11
Method: DFT, PBE+U
State: relaxed

a = 7.088 Å, b = 7.137 Å, c = 10.384 Å
α = 99.27°, β = 95.78°, γ = 92.91°
Fractional positions:
Sr 0.146 0.252 0.478
Sr 0.162 0.608 0.864
Sr 0.838 0.392 0.136
Sr 0.854 0.748 0.522
V 0.137 0.112 0.838
V 0.343 0.763 0.539
V 0.364 0.574 0.235
V 0.636 0.426 0.765
V 0.657 0.237 0.461
V 0.863 0.888 0.162
Bi 0.347 0.073 0.139
Bi 0.653 0.927 0.861
O 0.051 0.056 0.231
O 0.084 0.257 0.978
O 0.157 0.467 0.263
O 0.185 0.917 0.494
O 0.197 0.261 0.733
O 0.200 0.601 0.596
O 0.326 0.744 0.133
O 0.327 0.972 0.894
O 0.466 0.129 0.351
O 0.472 0.663 0.403
O 0.488 0.395 0.155
O 0.512 0.605 0.845
O 0.528 0.337 0.597
O 0.534 0.871 0.649
O 0.673 0.028 0.106
O 0.674 0.256 0.867
O 0.800 0.399 0.404
O 0.803 0.739 0.267
O 0.815 0.083 0.506
O 0.843 0.533 0.737
O 0.916 0.743 0.022
O 0.949 0.944 0.769

Values from the calculation:
Raw total energy, eV per cell: -242.9


# 2
Material: Sr2BiWO8
Method: DFT, PBE+U
State: relaxed

a = 5.366 Å, b = 6.790 Å, c = 5.368 Å
α = 90.00°, β = 92.50°, γ = 90.00°
Fractional positions:
Sr 0.000 0.244 0.000
Sr 0.000 0.756 0.000
Bi 0.500 0.500 0.500
W 0.500 0.000 0.500
O 0.230 0.500 0.229
O 0.244 0.000 0.242
O 0.329 0.220 0.670
O 0.329 0.780 0.670
O 0.671 0.220 0.330
O 0.671 0.780 0.330
O 0.756 0.000 0.758
O 0.770 0.500 0.771

Values from the calculation:
Raw total energy, eV per cell: -75.5


# 3
Material: SrBiWO6
Method: DFT, PBE+U
State: relaxed

a = 5.648 Å, b = 5.648 Å, c = 10.527 Å
α = 90.00°, β = 90.00°, γ = 120.00°
Fractional positions:
Sr 0.000 0.000 0.000
Sr 0.000 0.000 0.500
Bi 0.333 0.667 0.250
Bi 0.667 0.333 0.750
W 0.333 0.667 0.750
W 0.667 0.333 0.250
O 0.038 0.394 0.643
O 0.038 0.644 0.857
O 0.356 0.394 0.857
O 0.356 0.962 0.643
O 0.394 0.038 0.143
O 0.394 0.356 0.357
O 0.606 0.644 0.643
O 0.606 0.962 0.857
O 0.644 0.038 0.357
O 0.644 0.606 0.143
O 0.962 0.356 0.143
O 0.962 0.606 0.357

Values from the calculation:
Raw total energy, eV per cell: -119.8


> Look up the raw total energy of the first one.

-242.9 eV per cell